The following is a PBE calculation of crystalline LiMg2Ru at its relaxed geometry, from the Alexandria database.

Unit cell a=2.9329 b=2.9329 c=28.1644 alpha=90.00 beta=90.00 gamma=120.00
Space group R-3m (No. 166, hexagonal axes)
Inequivalent atoms, fractional coordinates:
Li 0.0000 0.0000 0.0000 [3 per cell]
Mg 0.0000 0.0000 0.2431 [6 per cell]
Ru 0.0000 0.0000 0.5000 [3 per cell]

Calculated values
Calculated volume   210 Å³ per cell
E   -3.52 eV per atom

=====

The following is a PBE calculation of crystalline Ba2SrInPt at its relaxed geometry, from the Alexandria database.

Unit cell a=6.1290 b=6.1290 c=5.8920 alpha=90.00 beta=90.00 gamma=90.00
Space group P4/mmm (No. 123)
Inequivalent atoms, fractional coordinates:
Ba 0.0000 0.5000 0.0000 [2 per cell]
Sr 0.0000 0.0000 0.5000 [1 per cell]
In 0.5000 0.5000 0.5000 [1 per cell]
Pt 0.0000 0.0000 0.0000 [1 per cell]

Calculated values
Relative energy among the computed polymorphs   0.0 meV/atom
Calculated volume   221 Å³ per cell
E   -3.29 eV per atom

=====

The following is a PBE calculation of crystalline KPS2I at its relaxed geometry, from the Alexandria database.

Unit cell a=5.2880 b=5.2880 c=5.3584 alpha=90.00 beta=90.00 gamma=90.00
Space group P4/mmm (No. 123)
Inequivalent atoms, fractional coordinates:
K 0.0000 0.0000 0.0000 [1 per cell]
P 0.5000 0.5000 0.0000 [1 per cell]
S 0.0000 0.5000 0.5000 [2 per cell]
I 0.5000 0.5000 0.5000 [1 per cell]

Calculated values
Relative energy among the computed polymorphs   0.0 meV/atom
Calculated volume   150 Å³ per cell
E   -2.79 eV per atom